Entry 1:
The following is a DFT calculation (PBE) of CuAg2AuO4 after structural relaxation.

Output
Uncorrected energy, Ha/atom: -0.1571
Uncorrected formation energy, eV/atom: -0.161

CIF file:
```
data_CuAg2AuO4
_space_group_name_H-M_alt 'I m m m'
_space_group_IT_number 71
_space_group_name_Hall '-I 2 2'
_cell_length_a 5.943
_cell_length_b 6.508
_cell_length_c 6.638
_cell_angle_alpha 90.00
_cell_angle_beta 90.00
_cell_angle_gamma 90.00
loop_
_atom_site_label
_atom_site_fract_x
_atom_site_fract_y
_atom_site_fract_z
Cu1 0.000 0.000 0.000
Ag1 0.246 0.000 0.500
Au1 0.000 0.500 0.500
O1 0.233 0.000 0.188
```

Entry 2:
The following is a DFT calculation (PBE) of LiBIO2 after structural relaxation.

Output
Uncorrected energy, Ha/atom: -0.1162
Uncorrected formation energy, eV/atom: 0.850
Energy above the most stable polymorph in this dataset, meV/atom: 1188

CIF file:
```
data_LiBIO2
_space_group_name_H-M_alt 'P 4/m m m'
_space_group_IT_number 123
_space_group_name_Hall '-P 4 2'
_cell_length_a 3.540
_cell_length_b 3.540
_cell_length_c 5.925
_cell_angle_alpha 90.00
_cell_angle_beta 90.00
_cell_angle_gamma 90.00
loop_
_atom_site_label
_atom_site_fract_x
_atom_site_fract_y
_atom_site_fract_z
Li1 0.000 0.000 0.000
B1 0.500 0.500 0.500
I1 0.000 0.000 0.500
O1 0.000 0.500 0.000
```

Entry 3:
The following is a DFT calculation (PBE) of KHfCd2 after structural relaxation.

Output
Uncorrected energy, Ha/atom: -0.0923
Energy relative to the elements, eV/atom: 0.7077
Energy above the most stable polymorph in this dataset, meV/atom: 234

CIF file:
```
data_KHfCd2
_space_group_name_H-M_alt 'I -4 2 d'
_space_group_IT_number 122
_space_group_name_Hall 'I -4 2bw'
_cell_length_a 8.339
_cell_length_b 8.339
_cell_length_c 7.174
_cell_angle_alpha 90.00
_cell_angle_beta 90.00
_cell_angle_gamma 90.00
loop_
_atom_site_label
_atom_site_fract_x
_atom_site_fract_y
_atom_site_fract_z
K1 0.000 0.000 0.000
Hf1 0.000 0.000 0.500
Cd1 0.211 0.750 0.625
```

Entry 4:
The following is a DFT calculation (PBE) of Cs2KV2S6 after structural relaxation.

Output
Uncorrected energy, Ha/atom: -0.1854
Uncorrected formation energy, eV/atom: -0.880

CIF file:
```
data_Cs2KV2S6
_space_group_name_H-M_alt 'R -3 m'
_space_group_IT_number 166
_space_group_name_Hall '-R 3 2"'
_cell_length_a 7.5378
_cell_length_b 7.5378
_cell_length_c 24.8383
_cell_angle_alpha 90.00
_cell_angle_beta 90.00
_cell_angle_gamma 120.00
loop_
_atom_site_label
_atom_site_fract_x
_atom_site_fract_y
_atom_site_fract_z
Cs1 0.0000 0.0000 0.2192
K1 0.0000 0.0000 0.0000
V1 0.0000 0.0000 0.4412
S1 0.0175 0.5088 0.2428
```

- Which value of uncorrected energy does entry 4 give?
  -0.1854 Ha/atom